1.
DFT (GGA-PBE) results for crystalline Hf2PbI at its relaxed geometry.

Cell and atoms, written as CIF:
```
data_Hf2PbI
_cell_length_a 7.203
_cell_length_b 7.203
_cell_length_c 7.203
_cell_angle_alpha 90.00
_cell_angle_beta 90.00
_cell_angle_gamma 90.00
_space_group_name_H-M_alt 'F m -3 m'
_space_group_IT_number 225
_space_group_name_Hall '-F 4 2 3'
loop_
_atom_site_label
_atom_site_type_symbol
_atom_site_fract_x
_atom_site_fract_y
_atom_site_fract_z
_atom_site_occupancy
Hf1 Hf 0.250 0.250 0.250 1
Pb1 Pb 0.000 0.000 0.000 1
I1 I 0.000 0.000 0.500 1
```

Calculated values
The energy above the most stable polymorph in this dataset comes out at 0.000 eV/atom.

2.
DFT (GGA-PBE) results for crystalline Hf2Pb2I at its relaxed geometry.

Cell and atoms, written as CIF:
```
data_Hf2Pb2I
_cell_length_a 8.458
_cell_length_b 8.458
_cell_length_c 3.640
_cell_angle_alpha 90.00
_cell_angle_beta 90.00
_cell_angle_gamma 90.00
_space_group_name_H-M_alt 'P 4/m b m'
_space_group_IT_number 127
_space_group_name_Hall '-P 4 2ab'
loop_
_atom_site_label
_atom_site_type_symbol
_atom_site_fract_x
_atom_site_fract_y
_atom_site_fract_z
_atom_site_occupancy
Hf1 Hf 0.158 0.342 0.000 1
Pb1 Pb 0.138 0.638 0.500 1
I1 I 0.000 0.000 0.000 1
```

Calculated values
For the final energy, the calculation gives -0.4155 Ry per atom.

N(E_F) values (in states/eV/cell) by entry order: 15.6 4.6.